Version 1
12
Lattice="5.752 0.000 0.000 0.000 12.417 0.000 0.000 0.000 5.787" Properties=species:S:1:pos:R:3 comment="PBE BaZr, optimized geometry" space_group="Pmc2_1, No. 26" pbc="T T T"
Ba 0.000 1.057 0.000
Ba 0.000 3.337 3.083
Ba 0.000 9.080 0.189
Ba 0.000 11.360 2.894
Ba 2.876 3.263 0.768
Ba 2.876 9.154 3.662
Zr 0.000 5.667 5.679
Zr 0.000 6.750 2.786
Zr 2.876 0.572 3.819
Zr 2.876 5.660 3.983
Zr 2.876 6.757 1.090
Zr 2.876 11.845 0.925

***

Version 2
8
Lattice="8.042 0.000 0.000 -4.021 6.965 0.000 0.000 0.000 5.349" Properties=species:S:1:pos:R:3 comment="PBE BaZr, optimized geometry" space_group="P-6m2, No. 187" pbc="T T T"
Ba 0.000 0.000 0.000
Ba 2.122 1.225 2.674
Ba 5.920 1.225 2.674
Ba 4.021 4.515 2.674
Zr -1.451 3.805 0.000
Zr 0.000 4.643 2.674
Zr 1.451 3.805 0.000
Zr 0.000 6.319 0.000

***

Version 3
8
Lattice="6.464 0.000 0.000 0.000 4.827 0.000 0.000 0.000 9.892" Properties=species:S:1:pos:R:3 comment="PBE BaZr, optimized geometry" space_group="Pnma, No. 62" pbc="T T T"
Ba 0.001 1.207 1.561
Ba 6.464 3.620 8.331
Ba 3.233 1.207 3.385
Ba 3.231 3.620 6.507
Zr 0.009 1.207 5.533
Zr 3.223 3.620 0.587
Zr 3.241 1.207 9.305
Zr 6.456 3.620 4.359

***

Question: which arrangement is favored energetically? Ranking from most to least stable: version 2, version 1, version 3.

***

Version 1
12
Lattice="9.475 0.000 0.000 0.000 5.270 0.000 -1.131 0.000 9.887" Properties=species:S:1:pos:R:3 comment="PBE BaZr, optimized geometry" space_group="P2_1/m, No. 11" pbc="T T T"
Ba 0.855 1.317 1.434
Ba 0.743 1.317 6.519
Ba 2.999 3.952 3.813
Ba 5.344 1.317 6.074
Ba 7.600 3.952 3.368
Ba 7.488 3.952 8.453
Zr 1.541 3.952 9.748
Zr 2.903 1.317 9.134
Zr 3.589 3.952 7.789
Zr 4.754 1.317 2.098
Zr 5.440 3.952 0.753
Zr 6.802 1.317 0.139

***

Version 2
12
Lattice="6.784 0.000 0.000 0.000 5.384 0.000 -0.886 0.000 12.110" Properties=species:S:1:pos:R:3 comment="PBE BaZr, optimized geometry" space_group="P2_1/m, No. 11" pbc="T T T"
Ba 1.284 1.346 3.321
Ba 0.870 1.346 9.848
Ba 1.742 4.038 0.464
Ba 4.156 1.346 11.646
Ba 5.028 4.038 2.262
Ba 4.614 4.038 8.789
Zr -0.327 1.346 6.686
Zr 1.286 4.038 7.760
Zr 2.977 4.038 5.335
Zr 2.921 1.346 6.775
Zr 4.611 1.346 4.350
Zr 6.225 4.038 5.424

***

Question: which arrangement is favored energetically? Ranking from most to least stable: version 1, version 2.

***

Version 1
16
Lattice="5.506 0.000 0.000 0.000 15.345 0.000 0.000 0.000 6.974" Properties=species:S:1:pos:R:3 comment="PBE BaZr, optimized geometry" space_group="Pmm2, No. 25" pbc="T T T"
Ba 0.000 0.000 0.000
Ba 0.000 2.481 3.243
Ba 0.000 7.673 1.015
Ba 0.000 12.864 3.243
Ba 2.753 0.000 4.177
Ba 2.753 5.178 1.936
Ba 2.753 7.673 5.180
Ba 2.753 10.167 1.936
Zr 0.000 3.619 6.773
Zr 0.000 5.651 4.731
Zr 0.000 9.695 4.731
Zr 0.000 11.726 6.773
Zr 2.753 2.001 0.458
Zr 2.753 4.037 5.383
Zr 2.753 11.308 5.383
Zr 2.753 13.344 0.458

***

Version 2
8
Lattice="3.530 0.000 0.000 0.000 5.562 0.000 0.000 0.000 14.163" Properties=species:S:1:pos:R:3 comment="PBE BaZr, optimized geometry" space_group="Pmmn, No. 59" pbc="T T T"
Ba 0.882 1.390 1.209
Ba 0.882 4.171 3.513
Ba 2.647 1.390 10.650
Ba 2.647 4.171 12.954
Zr 0.882 1.390 7.477
Zr 0.882 4.171 9.163
Zr 2.647 1.390 5.000
Zr 2.647 4.171 6.686

***

Version 3
2
Lattice="0.000 3.314 3.314 3.314 0.000 3.314 3.314 3.314 0.000" Properties=species:S:1:pos:R:3 comment="PBE BaZr, optimized geometry" space_group="F-43m, No. 216" pbc="T T T"
Ba 0.000 0.000 0.000
Zr 4.971 4.971 4.971

***

Question: which arrangement is favored energetically? Ranking from most to least stable: version 2, version 1, version 3.

***

Version 1
4
Lattice="0.000 3.086 3.086 3.086 0.000 3.086 3.086 3.086 0.000" Properties=species:S:1:pos:R:3 comment="PBE BeCoCuBi, optimized geometry" space_group="F-43m, No. 216" pbc="T T T"
Be 0.000 0.000 0.000
Co 4.629 4.629 4.629
Cu 3.086 3.086 3.086
Bi 1.543 1.543 1.543

***

Version 2
4
Lattice="0.000 3.068 3.068 3.068 0.000 3.068 3.068 3.068 0.000" Properties=species:S:1:pos:R:3 comment="PBE BeCoCuBi, optimized geometry" space_group="F-43m, No. 216" pbc="T T T"
Be 0.000 0.000 0.000
Co 4.603 4.603 4.603
Cu 1.534 1.534 1.534
Bi 3.068 3.068 3.068

***

Question: which arrangement is favored energetically? Ranking from most to least stable: version 2, version 1.

***

Version 1
4
Lattice="0.000 3.285 3.285 3.285 0.000 3.285 3.285 3.285 0.000" Properties=species:S:1:pos:R:3 comment="PBE BeCoHgBi, optimized geometry" space_group="F-43m, No. 216" pbc="T T T"
Be 0.000 0.000 0.000
Co 3.285 3.285 3.285
Hg 4.928 4.928 4.928
Bi 1.643 1.643 1.643

***

Version 2
4
Lattice="0.000 3.346 3.346 3.346 0.000 3.346 3.346 3.346 0.000" Properties=species:S:1:pos:R:3 comment="PBE BeCoHgBi, optimized geometry" space_group="F-43m, No. 216" pbc="T T T"
Be 0.000 0.000 0.000
Co 5.018 5.018 5.018
Hg 3.346 3.346 3.346
Bi 1.673 1.673 1.673

***

Question: which arrangement is favored energetically? Ranking from most to least stable: version 1, version 2.

***

Version 1
4
Lattice="0.000 3.118 3.118 3.118 0.000 3.118 3.118 3.118 0.000" Properties=species:S:1:pos:R:3 comment="PBE BeCoBiMo, optimized geometry" space_group="F-43m, No. 216" pbc="T T T"
Be 0.000 0.000 0.000
Co 4.678 4.678 4.678
Bi 3.118 3.118 3.118
Mo 1.559 1.559 1.559

***

Version 2
4
Lattice="0.000 3.136 3.136 3.136 0.000 3.136 3.136 3.136 0.000" Properties=species:S:1:pos:R:3 comment="PBE BeCoBiMo, optimized geometry" space_group="F-43m, No. 216" pbc="T T T"
Be 0.000 0.000 0.000
Co 3.136 3.136 3.136
Bi 1.568 1.568 1.568
Mo 4.704 4.704 4.704

***

Question: which arrangement is favored energetically? Ranking from most to least stable: version 1, version 2.

***

Version 1
4
Lattice="0.000 3.103 3.103 3.103 0.000 3.103 3.103 3.103 0.000" Properties=species:S:1:pos:R:3 comment="PBE BeCoReBi, optimized geometry" space_group="F-43m, No. 216" pbc="T T T"
Be 0.000 0.000 0.000
Co 3.103 3.103 3.103
Re 4.654 4.654 4.654
Bi 1.551 1.551 1.551

***

Version 2
4
Lattice="0.000 3.089 3.089 3.089 0.000 3.089 3.089 3.089 0.000" Properties=species:S:1:pos:R:3 comment="PBE BeCoReBi, optimized geometry" space_group="F-43m, No. 216" pbc="T T T"
Be 0.000 0.000 0.000
Co 4.633 4.633 4.633
Re 1.544 1.544 1.544
Bi 3.089 3.089 3.089

***

Question: which arrangement is favored energetically? Ranking from most to least stable: version 2, version 1.

***

Version 1
4
Lattice="0.000 3.427 3.427 3.427 0.000 3.427 3.427 3.427 0.000" Properties=species:S:1:pos:R:3 comment="PBE SrBeCoBi, optimized geometry" space_group="F-43m, No. 216" pbc="T T T"
Sr 0.000 0.000 0.000
Be 5.140 5.140 5.140
Co 1.713 1.713 1.713
Bi 3.427 3.427 3.427

***

Version 2
4
Lattice="0.000 3.446 3.446 3.446 0.000 3.446 3.446 3.446 0.000" Properties=species:S:1:pos:R:3 comment="PBE SrBeCoBi, optimized geometry" space_group="F-43m, No. 216" pbc="T T T"
Sr 0.000 0.000 0.000
Be 5.170 5.170 5.170
Co 3.446 3.446 3.446
Bi 1.723 1.723 1.723

***

Version 3
4
Lattice="0.000 3.529 3.529 3.529 0.000 3.529 3.529 3.529 0.000" Properties=species:S:1:pos:R:3 comment="PBE SrBeCoBi, optimized geometry" space_group="F-43m, No. 216" pbc="T T T"
Sr 0.000 0.000 0.000
Be 3.529 3.529 3.529
Co 1.764 1.764 1.764
Bi 5.293 5.293 5.293

***

Question: which arrangement is favored energetically? Ranking from most to least stable: version 1, version 2, version 3.

***

Version 1
4
Lattice="0.000 3.193 3.193 3.193 0.000 3.193 3.193 3.193 0.000" Properties=species:S:1:pos:R:3 comment="PBE TaBeCoBi, optimized geometry" space_group="F-43m, No. 216" pbc="T T T"
Ta 0.000 0.000 0.000
Be 4.789 4.789 4.789
Co 3.193 3.193 3.193
Bi 1.596 1.596 1.596

***

Version 2
4
Lattice="0.000 3.166 3.166 3.166 0.000 3.166 3.166 3.166 0.000" Properties=species:S:1:pos:R:3 comment="PBE TaBeCoBi, optimized geometry" space_group="F-43m, No. 216" pbc="T T T"
Ta 0.000 0.000 0.000
Be 1.583 1.583 1.583
Co 4.748 4.748 4.748
Bi 3.166 3.166 3.166

***

Question: which arrangement is favored energetically? Ranking from most to least stable: version 2, version 1.

***

Version 1
4
Lattice="0.000 3.189 3.189 3.189 0.000 3.189 3.189 3.189 0.000" Properties=species:S:1:pos:R:3 comment="PBE BeZnCoBi, optimized geometry" space_group="F-43m, No. 216" pbc="T T T"
Be 0.000 0.000 0.000
Zn 3.189 3.189 3.189
Co 4.783 4.783 4.783
Bi 1.594 1.594 1.594

***

Version 2
4
Lattice="0.000 3.137 3.137 3.137 0.000 3.137 3.137 3.137 0.000" Properties=species:S:1:pos:R:3 comment="PBE BeZnCoBi, optimized geometry" space_group="F-43m, No. 216" pbc="T T T"
Be 0.000 0.000 0.000
Zn 4.706 4.706 4.706
Co 3.137 3.137 3.137
Bi 1.569 1.569 1.569

***

Question: which arrangement is favored energetically? Ranking from most to least stable: version 2, version 1.

***

Version 1
4
Lattice="0.000 3.718 3.718 3.718 0.000 3.718 3.718 3.718 0.000" Properties=species:S:1:pos:R:3 comment="PBE CsBeNiBi, optimized geometry" space_group="F-43m, No. 216" pbc="T T T"
Cs 0.000 0.000 0.000
Be 1.859 1.859 1.859
Ni 3.718 3.718 3.718
Bi 5.576 5.576 5.576

***

Version 2
4
Lattice="0.000 3.636 3.636 3.636 0.000 3.636 3.636 3.636 0.000" Properties=species:S:1:pos:R:3 comment="PBE CsBeNiBi, optimized geometry" space_group="F-43m, No. 216" pbc="T T T"
Cs 0.000 0.000 0.000
Be 1.818 1.818 1.818
Ni 5.453 5.453 5.453
Bi 3.636 3.636 3.636

***

Question: which arrangement is favored energetically? Ranking from most to least stable: version 2, version 1.

***

Version 1
4
Lattice="0.000 3.702 3.702 3.702 0.000 3.702 3.702 3.702 0.000" Properties=species:S:1:pos:R:3 comment="PBE CsBeBiPt, optimized geometry" space_group="F-43m, No. 216" pbc="T T T"
Cs 0.000 0.000 0.000
Be 1.851 1.851 1.851
Bi 3.702 3.702 3.702
Pt 5.553 5.553 5.553

***

Version 2
4
Lattice="0.000 3.719 3.719 3.719 0.000 3.719 3.719 3.719 0.000" Properties=species:S:1:pos:R:3 comment="PBE CsBeBiPt, optimized geometry" space_group="F-43m, No. 216" pbc="T T T"
Cs 0.000 0.000 0.000
Be 3.719 3.719 3.719
Bi 1.860 1.860 1.860
Pt 5.579 5.579 5.579

***

Question: which arrangement is favored energetically? Ranking from most to least stable: version 1, version 2.